No. 1
{
  "formula": "KCaMnBr5",
  "functional": "PBE",
  "state": "optimized geometry",
  "lattice": [[7.930, 0.060, -0.041], [-2.258, 7.602, -0.041], [-2.412, -3.258, 9.644]],
  "species": ["K", "K", "Ca", "Ca", "Mn", "Mn", "Br", "Br", "Br", "Br", "Br", "Br", "Br", "Br", "Br", "Br"],
  "frac_coords": [[0.344, 0.656, 0.250], [0.656, 0.344, 0.750], [0.000, 0.000, 0.500], [0.000, 0.000, 0.000], [0.682, 0.318, 0.250], [0.318, 0.682, 0.750], [0.086, 0.914, 0.250], [0.914, 0.086, 0.750], [0.913, 0.329, 0.122], [0.087, 0.671, 0.878], [0.671, 0.087, 0.378], [0.329, 0.913, 0.622], [0.740, 0.616, 0.435], [0.260, 0.384, 0.565], [0.384, 0.260, 0.065], [0.616, 0.740, 0.935]],
  "crystal_system": "monoclinic",
  "e_form_raw_ev_per_fu": -11.96,
  "n_ef_per_ev_atom": 0.000,
  "dft_energy_ev_per_atom": -4.074
}

=====

No. 2
{
  "formula": "Ni2HgIr",
  "functional": "PBE",
  "state": "optimized geometry",
  "lattice": [[-2.262, 1.504, 1.179], [-1.616, -2.481, 0.065], [2.259, -1.314, 6.011]],
  "species": ["Hg", "Ir", "Ni", "Ni"],
  "frac_coords": [[0.000, 0.000, 0.481], [0.500, 0.500, 0.799], [0.000, 0.000, 0.012], [0.500, 0.500, 0.208]],
  "crystal_system": "tetragonal",
  "formation_enthalpy_0k_mev_per_atom": 280,
  "n_ef_per_ev_atom": 1.449,
  "dft_energy_ev_per_atom": -4.901
}

=====

No. 3
{
  "formula": "NaAc12Co6",
  "functional": "PBE",
  "state": "optimized geometry",
  "lattice": [[-7.210, -4.846, -3.332], [7.335, -1.097, -5.618], [2.132, -3.074, 8.520]],
  "species": ["Na", "Ac", "Ac", "Ac", "Ac", "Ac", "Ac", "Ac", "Ac", "Ac", "Ac", "Ac", "Ac", "Co", "Co", "Co", "Co", "Co", "Co"],
  "frac_coords": [[0.000, 0.000, 0.000], [0.317, 0.127, 0.810], [0.317, 0.508, 0.190], [0.683, 0.492, 0.810], [0.683, 0.873, 0.190], [0.127, 0.810, 0.317], [0.508, 0.190, 0.317], [0.492, 0.810, 0.683], [0.873, 0.190, 0.683], [0.810, 0.317, 0.127], [0.190, 0.317, 0.508], [0.810, 0.683, 0.492], [0.190, 0.683, 0.873], [0.393, 0.500, 0.893], [0.607, 0.500, 0.107], [0.500, 0.893, 0.393], [0.500, 0.107, 0.607], [0.893, 0.393, 0.500], [0.107, 0.607, 0.500]],
  "crystal_system": "cubic",
  "formation_enthalpy_0k_mev_per_atom": -24,
  "n_ef_per_ev_atom": 0.915,
  "dft_energy_ev_per_atom": -4.932
}

=====

No. 4
{
  "formula": "Mg2ZrTl2",
  "functional": "PBE",
  "state": "optimized geometry",
  "lattice": [[-0.747, 0.983, 4.074], [3.730, -1.731, 1.102], [4.440, 5.433, 1.728]],
  "species": ["Tl", "Tl", "Mg", "Mg", "Zr"],
  "frac_coords": [[0.394, 0.394, 0.211], [0.606, 0.606, 0.789], [0.750, 0.250, 0.500], [0.250, 0.750, 0.500], [0.000, 0.000, 0.000]],
  "crystal_system": "tetragonal",
  "formation_enthalpy_0k_mev_per_atom": 205,
  "n_ef_per_ev_atom": 0.676,
  "dft_energy_ev_per_atom": -3.089
}

=====

No. 5
{
  "formula": "ZrOs5",
  "functional": "PBE",
  "state": "optimized geometry",
  "lattice": [[-2.033, 5.550, 2.413], [0.074, -6.318, 0.913], [3.337, 0.334, 2.042]],
  "species": ["Zr", "Os", "Os", "Os", "Os", "Os"],
  "frac_coords": [[0.500, 0.500, 0.000], [0.322, 0.678, 0.500], [0.179, 0.821, 0.000], [0.000, 0.000, 0.500], [0.821, 0.179, 0.000], [0.678, 0.322, 0.500]],
  "crystal_system": "orthorhombic",
  "formation_enthalpy_0k_mev_per_atom": -42,
  "n_ef_per_ev_atom": 0.687,
  "dft_energy_ev_per_atom": -10.825
}

=====

No. 6
{
  "formula": "ZnTeSe",
  "functional": "PBE",
  "state": "optimized geometry",
  "lattice": [[6.838, 0.000, -0.001], [0.000, 4.032, 0.000], [-6.129, 0.000, 13.604]],
  "species": ["Zn", "Zn", "Zn", "Zn", "Te", "Te", "Te", "Te", "Se", "Se", "Se", "Se"],
  "frac_coords": [[0.766, 0.000, 0.799], [0.766, 0.500, 0.299], [0.335, 0.000, 0.314], [0.335, 0.500, 0.814], [0.209, 0.000, 0.111], [0.209, 0.500, 0.611], [0.482, 0.000, 0.593], [0.482, 0.500, 0.093], [0.108, 0.000, 0.776], [0.108, 0.500, 0.276], [0.720, 0.000, 0.382], [0.720, 0.500, 0.882]],
  "crystal_system": "monoclinic",
  "e_form_raw_ev_per_fu": -0.88,
  "n_ef_per_ev_atom": 0.008,
  "dft_energy_ev_per_atom": -2.926
}

=====

No. 7
{
  "formula": "CaIn2S4",
  "functional": "PBE",
  "state": "optimized geometry",
  "lattice": [[3.884, 0.000, 0.000], [-1.942, 6.395, 0.000], [0.000, 0.000, 12.492]],
  "species": ["Ca", "Ca", "In", "In", "In", "In", "S", "S", "S", "S", "S", "S", "S", "S"],
  "frac_coords": [[0.606, 0.212, 0.750], [0.394, 0.788, 0.250], [0.138, 0.276, 0.431], [0.862, 0.724, 0.931], [0.138, 0.276, 0.069], [0.862, 0.724, 0.569], [0.778, 0.555, 0.117], [0.778, 0.555, 0.383], [0.222, 0.445, 0.883], [0.222, 0.445, 0.617], [0.951, 0.903, 0.750], [0.049, 0.097, 0.250], [0.500, 0.000, 0.000], [0.500, 0.000, 0.500]],
  "crystal_system": "orthorhombic",
  "e_form_raw_ev_per_fu": -6.79,
  "dft_energy_ev_per_atom": -4.397
}

=====

No. 8
{
  "formula": "LiScPb",
  "functional": "PBE",
  "state": "optimized geometry",
  "lattice": [[9.623, 0.000, 0.001], [3.481, 2.191, -3.185], [-3.481, 2.191, 3.185]],
  "species": ["Pb", "Pb", "Sc", "Sc", "Li", "Li"],
  "frac_coords": [[0.000, 0.500, 0.500], [0.500, 0.000, 0.000], [0.672, 0.175, 0.825], [0.328, 0.825, 0.175], [0.157, 0.666, 0.334], [0.843, 0.334, 0.666]],
  "crystal_system": "monoclinic",
  "formation_enthalpy_0k_mev_per_atom": -269,
  "n_ef_per_ev_atom": 0.502,
  "dft_energy_ev_per_atom": -4.253
}